Arrangement w

Computed, not measured: crystalline YPbCl3 at its relaxed geometry at the PBE level of DFT.

Cell: 5.6261 5.6261 5.6261 Å, 90.00 90.00 90.00°
Closest atoms and distances in Å follow each position.
Space group Pm-3m (No. 221)
Symmetry-distinct sites (fractional):
1 Y 0.0000 0.0000 0.0000  12 Cl 3.98
2 Pb 0.5000 0.5000 0.5000  6 Cl 2.81
3 Cl 0.0000 0.5000 0.5000  2 Pb 2.81

N(E_F) (states/eV per atom): 1.2989

Arrangement x

Computed, not measured: crystalline YPbCl3 at its relaxed geometry at the PBE level of DFT.

Cell: 5.3319 5.3319 5.3319 Å, 90.00 90.00 90.00°
Closest atoms and distances in Å follow each position.
Space group Pm-3m (No. 221)
Symmetry-distinct sites (fractional):
1 Y 0.0000 0.0000 0.0000  6 Cl 2.67
2 Pb 0.5000 0.5000 0.5000  12 Cl 3.77
3 Cl 0.0000 0.0000 0.5000  2 Y 2.67

N(E_F) (states/eV per atom): 1.0790

Which of them is the most stable, and which is the least stable? arrangement x and arrangement w, in that order.

Arrangement w

Computed, not measured: crystalline Zn2PbCl at its relaxed geometry at the PBE level of DFT.

Cell: 3.3124 4.9878 5.6818 Å, 90.00 90.00 90.00°
Closest atoms and distances in Å follow each position.
Space group Pmmm (No. 47)
Symmetry-distinct sites (fractional):
1 Zn 0.0000 0.0000 0.0000  6 Zn 2.99-3.31, 4 Cl 3.29
2 Zn 0.5000 0.5000 0.0000  6 Zn 2.99-3.31, 4 Pb 3.29
3 Pb 0.0000 0.5000 0.5000  4 Cl 2.99, 4 Zn 3.29, 2 Pb 3.31
4 Cl 0.5000 0.0000 0.5000  4 Pb 2.99, 4 Zn 3.29, 2 Cl 3.31

N(E_F) (states/eV per atom): 0.3869

Arrangement x

Computed, not measured: crystalline Zn2PbCl at its relaxed geometry at the PBE level of DFT.

Cell: 7.2258 7.2258 7.2258 Å, 90.00 90.00 90.00°
Closest atoms and distances in Å follow each position.
Space group F-43m (No. 216)
Symmetry-distinct sites (fractional):
1 Zn 0.0000 0.0000 0.0000  4 Zn 3.13, 4 Pb 3.13
2 Zn 0.2500 0.2500 0.2500  4 Cl 3.13, 4 Zn 3.13
3 Pb 0.2500 0.2500 0.7500  4 Zn 3.13, 4 Cl 3.13
4 Cl 0.0000 0.0000 0.5000  4 Pb 3.13, 4 Zn 3.13

N(E_F) (states/eV per atom): 1.1405

Arrangement y

Computed, not measured: crystalline Zn2PbCl at its relaxed geometry at the PBE level of DFT.

Cell: 3.3371 5.7533 9.5579 Å, 90.00 90.00 90.00°
Closest atoms and distances in Å follow each position.
Space group Imm2 (No. 44)
Symmetry-distinct sites (fractional):
1 Zn 0.0000 0.0000 0.0000  2 Cl 2.57, 2 Zn 2.60
2 Zn 0.0000 0.5000 0.2910  2 Zn 2.60
3 Pb 0.0000 0.0000 0.5177  6 Zn 3.10-3.33, 2 Pb 3.34, 4 Cl 3.38-3.43
4 Cl 0.0000 0.5000 0.7040  2 Zn 2.57

N(E_F) (states/eV per atom): 0.3253

Arrangement z

Computed, not measured: crystalline Zn2PbCl at its relaxed geometry at the PBE level of DFT.

Cell: 3.7123 3.8763 6.7976 Å, 90.00 90.00 90.00°
Closest atoms and distances in Å follow each position.
Space group Pmm2 (No. 25)
Symmetry-distinct sites (fractional):
1 Zn 0.0000 0.0000 0.0000  1 Cl 2.64
2 Zn 0.5000 0.5000 0.2241  1 Pb 2.83, 4 Cl 2.91, 4 Zn 3.09
3 Pb 0.5000 0.5000 0.8075  5 Zn 2.83-2.99
4 Cl 0.0000 0.0000 0.3888  5 Zn 2.64-2.91

N(E_F) (states/eV per atom): 0.2728

Which of them is the most stable, and which is the least stable? arrangement z and arrangement x, in that order.

Arrangement w

Computed, not measured: crystalline Zn2PbCl at its relaxed geometry at the PBE level of DFT.

Cell: 4.4468 4.4468 9.5270 Å, 90.00 90.00 90.00°
Closest atoms and distances in Å follow each position.
Space group I-4m2 (No. 119)
Symmetry-distinct sites (fractional):
1 Zn 0.0000 0.0000 0.0000  4 Pb 3.14, 4 Cl 3.26, 4 Zn 3.26
2 Zn 0.0000 0.5000 0.2500  4 Cl 3.14, 4 Pb 3.26, 4 Zn 3.26
3 Pb 0.0000 0.0000 0.5000  8 Zn 3.14-3.26, 4 Cl 3.26
4 Cl 0.0000 0.5000 0.7500  8 Zn 3.14-3.26, 4 Pb 3.26

N(E_F) (states/eV per atom): 0.4809

Arrangement x

Computed, not measured: crystalline Zn2PbCl at its relaxed geometry at the PBE level of DFT.

Cell: 12.1339 3.3752 4.7909 Å, 90.00 98.80 90.00°
Closest atoms and distances in Å follow each position.
Space group C2/m (No. 12)
Symmetry-distinct sites (fractional):
1 Zn 0.2462 0.0000 0.2522  4 Zn 2.90-2.96, 1 Pb 3.05, 1 Cl 3.13
2 Pb 0.0000 0.0000 0.0000  4 Cl 2.93, 2 Zn 3.05
3 Cl 0.0000 0.5000 0.5000  4 Pb 2.93, 2 Zn 3.13

N(E_F) (states/eV per atom): 0.1944

Arrangement y

Computed, not measured: crystalline Zn2PbCl at its relaxed geometry at the PBE level of DFT.

Cell: 6.3028 6.3028 12.0547 Å, 90.00 90.00 90.00°
Closest atoms and distances in Å follow each position.
Space group I-42d (No. 122)
Symmetry-distinct sites (fractional):
1 Zn 0.2386 0.2500 0.1250  2 Cl 2.65, 2 Pb 2.73
2 Pb 0.0000 0.0000 0.5000  4 Zn 2.73
3 Cl 0.0000 0.0000 0.0000  4 Zn 2.65

N(E_F) (states/eV per atom): 0.3332

Which of them is the most stable, and which is the least stable? arrangement x and arrangement w, in that order.

Arrangement w

Computed, not measured: crystalline Zn2PbCl at its relaxed geometry at the PBE level of DFT.

Cell: 3.8853 6.1392 8.2090 Å, 90.00 90.00 90.00°
Closest atoms and distances in Å follow each position.
Space group Cmmm (No. 65)
Symmetry-distinct sites (fractional):
1 Zn 0.0000 0.0000 0.2316  2 Cl 2.72, 2 Pb 2.94
2 Pb 0.0000 0.5000 0.5000  4 Zn 2.94
3 Cl 0.0000 0.5000 0.0000  4 Zn 2.72

N(E_F) (states/eV per atom): 0.3255

Arrangement x

Computed, not measured: crystalline Zn2PbCl at its relaxed geometry at the PBE level of DFT.

Cell: 3.3859 3.3859 28.1186 Å, 90.00 90.00 120.00°
Closest atoms and distances in Å follow each position.
Space group R3m (No. 160, hexagonal axes)
Symmetry-distinct sites (fractional):
1 Zn 0.0000 0.0000 0.0000  3 Zn 2.70
2 Zn 0.0000 0.0000 0.2671  3 Cl 2.49, 3 Zn 2.70
3 Pb 0.0000 0.0000 0.7563  3 Zn 3.19, 6 Pb 3.39
4 Cl 0.0000 0.0000 0.5453  3 Zn 2.49

N(E_F) (states/eV per atom): 0.9182

Which of them is the most stable, and which is the least stable? arrangement x and arrangement w, in that order.

Arrangement w

Computed, not measured: crystalline Zn2PbCl at its relaxed geometry at the PBE level of DFT.

Cell: 3.4237 5.2335 5.4062 Å, 90.00 90.02 90.00°
Closest atoms and distances in Å follow each position.
Space group Pm (No. 6)
Symmetry-distinct sites (fractional):
1 Zn 0.0000 0.0000 0.0000  2 Pb 2.79-2.85, 2 Cl 2.83
2 Zn 0.2078 0.5000 0.3087  2 Cl 2.51-2.59
3 Pb 0.2362 0.0000 0.5054  4 Zn 2.79-2.85
4 Cl 0.6904 0.5000 0.9602  2 Zn 2.51-2.59

N(E_F) (states/eV per atom): 0.1727

Arrangement x

Computed, not measured: crystalline Zn2PbCl at its relaxed geometry at the PBE level of DFT.

Cell: 3.7790 3.7790 23.2402 Å, 90.00 90.00 120.00°
Closest atoms and distances in Å follow each position.
Space group R-3m (No. 166, hexagonal axes)
Symmetry-distinct sites (fractional):
1 Zn 0.0000 0.0000 0.2453  3 Cl 2.85, 3 Pb 2.99
2 Pb 0.0000 0.0000 0.0000  6 Zn 2.99
3 Cl 0.0000 0.0000 0.5000  6 Zn 2.85

N(E_F) (states/eV per atom): 0.1639

Arrangement y

Computed, not measured: crystalline Zn2PbCl at its relaxed geometry at the PBE level of DFT.

Cell: 3.5008 5.0898 5.6909 Å, 90.00 107.01 90.00°
Closest atoms and distances in Å follow each position.
Space group P2/m (No. 10)
Symmetry-distinct sites (fractional):
1 Zn 0.0390 0.0000 0.2404  1 Zn 2.67
2 Pb 0.5000 0.5000 0.5000  2 Cl 2.85, 4 Zn 3.14
3 Cl 0.5000 0.5000 0.0000  2 Pb 2.85

N(E_F) (states/eV per atom): 0.2120

Which of them is the most stable, and which is the least stable? arrangement w and arrangement y, in that order.

Arrangement w

Computed, not measured: crystalline Zr3PbCl at its relaxed geometry at the PBE level of DFT.

Cell: 4.8452 4.8452 4.8452 Å, 90.00 90.00 90.00°
Closest atoms and distances in Å follow each position.
Space group Pm-3m (No. 221)
Symmetry-distinct sites (fractional):
1 Zr 0.0000 0.0000 0.5000  2 Cl 2.42
2 Pb 0.5000 0.5000 0.5000  12 Zr 3.43
3 Cl 0.0000 0.0000 0.0000  6 Zr 2.42

N(E_F) (states/eV per atom): 1.5559

Arrangement x

Computed, not measured: crystalline Zr3PbCl at its relaxed geometry at the PBE level of DFT.

Cell: 5.5478 5.5478 5.5478 Å, 90.00 90.00 90.00°
Closest atoms and distances in Å follow each position.
Space group Pm-3m (No. 221)
Symmetry-distinct sites (fractional):
1 Zr 0.0000 0.0000 0.5000  2 Pb 2.77
2 Pb 0.0000 0.0000 0.0000  6 Zr 2.77
3 Cl 0.5000 0.5000 0.5000  12 Zr 3.92

N(E_F) (states/eV per atom): 1.4402

Which of them is the most stable, and which is the least stable? arrangement w and arrangement x, in that order.